No. 1
A plane-wave DFT calculation with PBE was carried out for a geometry-optimized ScSiOs2 structure.

Geometry as POSCAR:
```
ScSiOs2
1.0
-0.7946 -0.6353 2.6980
-1.0300 -1.8623 -1.9454
6.5289 -4.5102 0.8607
Os Si Sc
2 1 1
Direct
0.0000 0.0000 0.9735
0.0000 0.0000 0.5265
0.5000 0.5000 0.7500
0.5000 0.5000 0.2500
```

Raw formation energy: -17 kJ/mol of formula units
Raw total energy: -8.5980 eV per atom


No. 2
A plane-wave DFT calculation with PBE was carried out for a geometry-optimized Ba2ThUAs4 structure.

Geometry as POSCAR:
```
Ba2ThUAs4
1.0
-0.5286 3.8064 -2.1019
-7.4103 -1.4390 -0.7425
1.1436 3.9090 6.7914
Ba As Th U
2 4 1 1
Direct
0.0000 0.5000 0.5000
0.5000 0.0000 0.5000
0.0000 0.7269 0.2039
0.5000 0.7552 0.7916
0.5000 0.2448 0.2084
0.0000 0.2731 0.7961
0.0000 0.0000 0.0000
0.5000 0.5000 0.0000
```

Energy of formation from the pure elements: -1.104 eV/atom
Raw total energy: -6.2475 eV per atom


No. 3
A plane-wave DFT calculation with PBE was carried out for a geometry-optimized TaAlTl structure.

Geometry as POSCAR:
```
TaAlTl
1.0
-2.9770 0.5312 3.4715
-3.5825 -2.8612 0.4185
-0.1069 -3.0683 3.4307
Tl Al Ta
1 1 1
Direct
0.7500 0.7500 0.7500
0.0000 0.0000 0.0000
0.5000 0.5000 0.5000
```

Energy of formation from the pure elements: 1.192 eV/atom
Raw total energy: -4.7956 eV per atom
ΔE to the lowest computed polymorph: 894 meV per atom


Question: Look up the raw total energy of the second one.
Answer: -6.2475 eV per atom


What did the first record say?
A plane-wave DFT calculation with PBE was carried out for a geometry-optimized ScSiOs2 structure.

Geometry as POSCAR:
```
ScSiOs2
1.0
-0.7946 -0.6353 2.6980
-1.0300 -1.8623 -1.9454
6.5289 -4.5102 0.8607
Os Si Sc
2 1 1
Direct
0.0000 0.0000 0.9735
0.0000 0.0000 0.5265
0.5000 0.5000 0.7500
0.5000 0.5000 0.2500
```

Raw formation energy: -17 kJ/mol of formula units
Raw total energy: -8.5980 eV per atom